Record 1
! Sr3NbFe | Alexandria | GGA-PBE | relaxed; values from VASP
! * energy above the lowest structure with this stoichiometry: 0.000 eV per atom
! * space group: Pm-3m, No. 221
&SYSTEM
  ibrav = 0, nat = 5, ntyp = 3
/
ATOMIC_SPECIES
Sr 87.62 Sr.upf
Nb 92.91 Nb.upf
Fe 55.84 Fe.upf
CELL_PARAMETERS angstrom
5.625 0.000 0.000
0.000 5.625 0.000
0.000 0.000 5.625
ATOMIC_POSITIONS angstrom
Sr 0.000 0.000 2.812
Sr 0.000 2.812 0.000
Sr 2.812 0.000 0.000
Nb 2.812 2.812 2.812
Fe 0.000 0.000 0.000

Record 2
! Sr2NbTlFe | Alexandria | GGA-PBE | relaxed; values from VASP
! * final energy: -3.481 eV per atom
! * space group: P4/mmm, No. 123
&SYSTEM
  ibrav = 0, nat = 5, ntyp = 4
/
ATOMIC_SPECIES
Sr 87.62 Sr.upf
Nb 92.91 Nb.upf
Tl 204.38 Tl.upf
Fe 55.84 Fe.upf
CELL_PARAMETERS angstrom
6.095 0.000 0.000
0.000 6.095 0.000
0.000 0.000 5.337
ATOMIC_POSITIONS angstrom
Sr 0.000 3.048 0.000
Sr 3.048 0.000 0.000
Nb 0.000 0.000 2.668
Tl 0.000 0.000 0.000
Fe 3.048 3.048 2.668

Record 3
! TaNb14Fe | Alexandria | GGA-PBE | relaxed; values from VASP
! * final energy: -10.098 eV per atom
! * space group: P4/mmm, No. 123
&SYSTEM
  ibrav = 0, nat = 16, ntyp = 3
/
ATOMIC_SPECIES
Ta 180.95 Ta.upf
Nb 92.91 Nb.upf
Fe 55.84 Fe.upf
CELL_PARAMETERS angstrom
6.585 0.000 0.000
0.000 6.585 0.000
0.000 0.000 6.579
ATOMIC_POSITIONS angstrom
Ta 0.000 0.000 0.000
Nb 0.000 0.000 3.290
Nb 0.000 3.292 0.000
Nb 0.000 3.292 3.290
Nb 1.670 1.670 1.622
Nb 1.670 1.670 4.958
Nb 1.670 4.915 1.622
Nb 1.670 4.915 4.958
Nb 3.292 0.000 0.000
Nb 3.292 0.000 3.290
Nb 3.292 3.292 3.290
Nb 4.915 1.670 1.622
Nb 4.915 1.670 4.958
Nb 4.915 4.915 1.622
Nb 4.915 4.915 4.958
Fe 3.292 3.292 0.000

Record 4
! Ta2NbFe2 | Alexandria | GGA-PBE | relaxed; values from VASP
! * energy above the lowest structure with this stoichiometry: 0.198 eV per atom
! * space group: I4/mmm, No. 139
&SYSTEM
  ibrav = 0, nat = 5, ntyp = 3
/
ATOMIC_SPECIES
Ta 180.95 Ta.upf
Nb 92.91 Nb.upf
Fe 55.84 Fe.upf
CELL_PARAMETERS angstrom
-2.063 2.063 4.832
2.063 -2.063 4.832
2.063 2.063 -4.832
ATOMIC_POSITIONS angstrom
Ta 2.063 0.000 2.416
Ta 0.000 2.063 2.416
Nb 0.000 0.000 0.000
Fe 0.000 0.000 3.770
Fe 0.000 0.000 5.894

Record 5
! Ta2NbFe | Alexandria | GGA-PBE | relaxed; values from VASP
! * final energy: -10.593 eV per atom
! * space group: P4/mmm, No. 123
&SYSTEM
  ibrav = 0, nat = 4, ntyp = 3
/
ATOMIC_SPECIES
Ta 180.95 Ta.upf
Nb 92.91 Nb.upf
Fe 55.84 Fe.upf
CELL_PARAMETERS angstrom
4.494 0.000 0.000
0.000 4.494 0.000
0.000 0.000 3.216
ATOMIC_POSITIONS angstrom
Ta 0.000 2.247 0.000
Ta 2.247 0.000 0.000
Nb 0.000 0.000 1.608
Fe 2.247 2.247 1.608

Record 6
! TaNbFe2 | Alexandria | GGA-PBE | relaxed; values from VASP
! * final energy: -9.810 eV per atom
! * space group: P4/mmm, No. 123
&SYSTEM
  ibrav = 0, nat = 4, ntyp = 3
/
ATOMIC_SPECIES
Ta 180.95 Ta.upf
Nb 92.91 Nb.upf
Fe 55.84 Fe.upf
CELL_PARAMETERS angstrom
3.063 0.000 0.000
0.000 3.063 0.000
0.000 0.000 6.167
ATOMIC_POSITIONS angstrom
Ta 0.000 0.000 0.000
Nb 0.000 0.000 3.084
Fe 1.532 1.532 1.510
Fe 1.532 1.532 4.657

Record 7
! TaNb2Fe2 | Alexandria | GGA-PBE | relaxed; values from VASP
! * final energy: -9.718 eV per atom
! * space group: P4/mbm, No. 127
&SYSTEM
  ibrav = 0, nat = 10, ntyp = 3
/
ATOMIC_SPECIES
Ta 180.95 Ta.upf
Nb 92.91 Nb.upf
Fe 55.84 Fe.upf
CELL_PARAMETERS angstrom
6.995 0.000 0.000
0.000 6.995 0.000
0.000 0.000 3.124
ATOMIC_POSITIONS angstrom
Ta 0.000 0.000 0.000
Ta 3.497 3.497 0.000
Nb 1.201 2.296 1.562
Nb 2.296 5.794 1.562
Nb 4.698 1.201 1.562
Nb 5.794 4.698 1.562
Fe 0.904 4.402 0.000
Fe 2.593 0.904 0.000
Fe 4.402 6.090 0.000
Fe 6.090 2.593 0.000

Record 8
! TaNb6Fe | Alexandria | GGA-PBE | relaxed; values from VASP
! * final energy: -10.048 eV per atom
! * space group: P2/m, No. 10
&SYSTEM
  ibrav = 0, nat = 8, ntyp = 3
/
ATOMIC_SPECIES
Ta 180.95 Ta.upf
Nb 92.91 Nb.upf
Fe 55.84 Fe.upf
CELL_PARAMETERS angstrom
5.203 0.000 0.000
0.000 5.210 0.000
-0.014 0.000 5.206
ATOMIC_POSITIONS angstrom
Ta 0.000 0.000 0.000
Nb 0.002 2.605 1.332
Nb 1.324 0.000 2.603
Nb 2.601 1.333 0.000
Nb 2.601 3.877 0.000
Nb 3.865 0.000 2.603
Nb 5.187 2.605 3.874
Fe 2.595 2.605 2.603